Entry 1:
# PPtBr2

Crystalline PPtBr2 at its relaxed geometry (GGA-PBE, Alexandria via LeMat-Bulk).

abc: 3.530 3.530 8.747
angles: 90.00 90.00 126.01
Fractional coordinates of all 4 atoms:
Br (0.000, 0.000, 0.978)
Br (0.000, 0.000, 0.522)
P (0.500, 0.500, 0.250)
Pt (0.500, 0.500, 0.750)

Computed properties:
Size of the total moment = 0.0 μB per formula unit
Raw total energy = -11.99 eV/cell
Uncorrected formation energy = 0.70 eV/atom
Volume = 22.043 A^3/atom
Crystal system = orthorhombic
SG = Cmmm, No. 65

---

Entry 2:
# CrNi2Rh

Crystalline CrNi2Rh at its relaxed geometry (GGA-PBE, Alexandria via LeMat-Bulk).

abc: 2.602 2.602 7.072
angles: 90.00 90.00 90.01
Site moments in Bohr magnetons follow the coordinates.
Fractional coordinates of all 4 atoms:
Ni (0.000, 0.000, 0.997)  0.06
Ni (0.500, 0.500, 0.238)  -0.03
Rh (0.000, 0.000, 0.505)  -0.03
Cr (0.500, 0.500, 0.760)  0.36

Computed properties:
Size of the total moment = 0.4 μB per formula unit
Raw total energy = -28.46 eV/cell
DFT formation energy = 0.018 eV per atom
Volume = 11.974 A^3/atom
Crystal system = tetragonal
SG = P4mm, No. 99

---

Entry 3:
# Nd3Cu2Ni

Crystalline Nd3Cu2Ni at its relaxed geometry (GGA-PBE, Alexandria via LeMat-Bulk).

abc: 4.324 11.206 11.668
angles: 90.00 90.00 90.00
Fractional coordinates of all 24 atoms:
Nd (0.250, 0.374, 0.050)
Nd (0.750, 0.626, 0.950)
Nd (0.750, 0.874, 0.450)
Nd (0.250, 0.126, 0.550)
Nd (0.250, 0.704, 0.225)
Nd (0.750, 0.296, 0.775)
Nd (0.750, 0.204, 0.275)
Nd (0.250, 0.796, 0.725)
Nd (0.250, 0.441, 0.385)
Nd (0.750, 0.559, 0.615)
Nd (0.750, 0.941, 0.115)
Nd (0.250, 0.059, 0.885)
Cu (0.250, 0.689, 0.480)
Cu (0.750, 0.311, 0.520)
Cu (0.750, 0.189, 0.020)
Cu (0.250, 0.811, 0.980)
Cu (0.250, 0.001, 0.298)
Cu (0.750, 0.999, 0.702)
Cu (0.750, 0.501, 0.202)
Cu (0.250, 0.499, 0.798)
Ni (0.250, 0.130, 0.122)
Ni (0.750, 0.870, 0.878)
Ni (0.750, 0.630, 0.378)
Ni (0.250, 0.370, 0.622)

Computed properties:
Size of the total moment = 0.0 μB per formula unit
Raw total energy = -117.84 eV/cell
DFT formation energy = -0.197 eV per atom
Volume = 23.558 A^3/atom
Crystal system = orthorhombic
SG = Pnma, No. 62

---

Entry 4:
# AlHgCl

Crystalline AlHgCl at its relaxed geometry (GGA-PBE, Alexandria via LeMat-Bulk).

abc: 7.721 7.721 7.721
angles: 154.86 154.86 35.86
Fractional coordinates of all 3 atoms:
Al (0.980, 0.980, 0.000)
Hg (0.638, 0.638, 0.000)
Cl (0.382, 0.382, 0.000)

Computed properties:
Energy above the lowest structure with this stoichiometry = 59 meV per atom
Size of the total moment = 0.0 μB per formula unit
Raw total energy = -6.58 eV/cell
Uncorrected formation energy = -0.23 eV/atom
Volume = 27.661 A^3/atom
Crystal system = tetragonal
SG = I4mm, No. 107

---

Entry 5:
# Zr2TeRh

Crystalline Zr2TeRh at its relaxed geometry (GGA-PBE, Alexandria via LeMat-Bulk).

abc: 7.589 7.589 6.166
angles: 52.02 52.02 90.00
Fractional coordinates of all 8 atoms:
Te (0.000, 0.000, 0.000)
Te (0.750, 0.250, 0.500)
Rh (0.500, 0.500, 0.000)
Rh (0.250, 0.750, 0.500)
Zr (0.594, 0.125, 0.250)
Zr (0.156, 0.625, 0.250)
Zr (0.375, 0.406, 0.750)
Zr (0.875, 0.844, 0.750)

Computed properties:
Energy above the lowest structure with this stoichiometry = 241 meV per atom
Size of the total moment = 0.0 μB per formula unit
Raw total energy = -58.38 eV/cell
Uncorrected formation energy = -0.40 eV/atom
Volume = 21.865 A^3/atom
Crystal system = tetragonal
SG = I-42d, No. 122

---

Entry 6:
# CrAg3C

Crystalline CrAg3C at its relaxed geometry (GGA-PBE, Alexandria via LeMat-Bulk).

abc: 5.035 5.035 5.035
angles: 90.00 90.00 90.00
Site moments in Bohr magnetons follow the coordinates.
Fractional coordinates of all 5 atoms:
Cr (0.000, 0.000, 0.000)  3.93
C (0.500, 0.500, 0.500)  0.79
Ag (0.000, 0.500, 0.000)  0.11
Ag (0.000, 0.000, 0.500)  0.17
Ag (0.500, 0.000, 0.000)  0.03

Computed properties:
Energy above the lowest structure with this stoichiometry = 1449 meV per atom
Size of the total moment = 6.3 μB per formula unit
Raw total energy = -15.54 eV/cell
DFT formation energy = 2.371 eV per atom
Volume = 25.531 A^3/atom
Crystal system = cubic
SG = Pm-3m, No. 221

---

Entry 7:
# LiPuIn4Ag2

Crystalline LiPuIn4Ag2 at its relaxed geometry (GGA-PBE, Alexandria via LeMat-Bulk).

abc: 4.873 4.873 9.082
angles: 74.44 74.44 60.00
Site moments in Bohr magnetons follow the coordinates.
Fractional coordinates of all 8 atoms:
Li (0.500, 0.500, 0.500)  -0.01
Pu (0.000, 0.000, 0.000)  5.40
In (0.386, 0.386, 0.842)  0.02
In (0.872, 0.872, 0.383)  0.00
In (0.128, 0.128, 0.617)  0.00
In (0.614, 0.614, 0.158)  0.02
Ag (0.756, 0.756, 0.733)  0.00
Ag (0.244, 0.244, 0.267)  0.00

Computed properties:
Size of the total moment = 5.7 μB per formula unit
Raw total energy = -33.77 eV/cell
DFT formation energy = -0.108 eV per atom
Volume = 22.199 A^3/atom
Crystal system = trigonal
SG = R-3m, No. 166

---

Entry 8:
# La2PuSnC

Crystalline La2PuSnC at its relaxed geometry (GGA-PBE, Alexandria via LeMat-Bulk).

abc: 4.797 5.250 5.250
angles: 90.00 90.00 90.00
Site moments in Bohr magnetons follow the coordinates.
Fractional coordinates of all 5 atoms:
La (0.000, 0.000, 0.500)  0.14
La (0.000, 0.500, 0.000)  0.14
Pu (0.500, 0.000, 0.000)  5.22
Sn (0.500, 0.500, 0.500)  -0.07
C (0.000, 0.000, 0.000)  -0.16

Computed properties:
Size of the total moment = 5.8 μB per formula unit
Raw total energy = -39.40 eV/cell
DFT formation energy = -0.396 eV per atom
Volume = 26.447 A^3/atom
Crystal system = tetragonal
SG = P4/mmm, No. 123

---

Entry 9:
# PuTc2PC

Crystalline PuTc2PC at its relaxed geometry (GGA-PBE, Alexandria via LeMat-Bulk).

abc: 3.815 5.832 7.226
angles: 90.00 90.00 109.09
Site moments in Bohr magnetons follow the coordinates.
Fractional coordinates of all 10 atoms:
Pu (0.457, 0.914, 0.750)  4.94
Pu (0.543, 0.086, 0.250)  4.94
Tc (0.171, 0.343, 0.941)  -0.13
Tc (0.829, 0.657, 0.059)  -0.13
Tc (0.171, 0.343, 0.559)  -0.13
Tc (0.829, 0.657, 0.441)  -0.13
P (0.733, 0.466, 0.750)  -0.02
P (0.267, 0.534, 0.250)  -0.02
C (0.000, 0.000, 0.000)  -0.03
C (0.000, 0.000, 0.500)  -0.03

Computed properties:
Size of the total moment = 4.8 μB per formula unit
Raw total energy = -104.02 eV/cell
DFT formation energy = -0.463 eV per atom
Volume = 15.194 A^3/atom
Crystal system = orthorhombic
SG = Cmcm, No. 63

---

Entry 10:
# B

Crystalline B at its relaxed geometry (GGA-PBE, Alexandria via LeMat-Bulk).

abc: 2.899 3.168 3.577
angles: 96.72 114.22 89.91
Fractional coordinates of all 4 atoms:
B (0.762, 0.856, 0.522)
B (0.238, 0.144, 0.478)
B (0.873, 0.380, 0.746)
B (0.127, 0.620, 0.254)

Computed properties:
Energy above the lowest structure with this stoichiometry = 224 meV per atom
Size of the total moment = 0.0 μB per formula unit
Raw total energy = -25.81 eV/cell
DFT formation energy = 0.224 eV per atom
Volume = 7.431 A^3/atom
Crystal system = triclinic
SG = P-1, No. 2

---

Entry 11:
# La2FePb2

Crystalline La2FePb2 at its relaxed geometry (GGA-PBE, Alexandria via LeMat-Bulk).

abc: 7.411 7.411 5.077
angles: 90.00 90.00 90.00
Site moments in Bohr magnetons follow the coordinates.
Fractional coordinates of all 10 atoms:
Pb (0.351, 0.851, 0.000)  0.00
Pb (0.851, 0.649, 0.000)  0.00
Pb (0.649, 0.149, 0.000)  0.00
Pb (0.149, 0.351, 0.000)  0.00
Fe (0.000, 0.000, 0.000)  0.06
Fe (0.500, 0.500, 0.000)  0.06
La (0.168, 0.668, 0.500)  0.01
La (0.668, 0.832, 0.500)  0.01
La (0.832, 0.332, 0.500)  0.01
La (0.332, 0.168, 0.500)  0.01

Computed properties:
Size of the total moment = 0.1 μB per formula unit
Raw total energy = -51.74 eV/cell
DFT formation energy = -0.027 eV per atom
Volume = 27.879 A^3/atom
Crystal system = tetragonal
SG = P4/mbm, No. 127

---

Entry 12:
# Rb2CdHgAu

Crystalline Rb2CdHgAu at its relaxed geometry (GGA-PBE, Alexandria via LeMat-Bulk).

abc: 6.597 5.380 6.597
angles: 90.00 90.00 90.00
Fractional coordinates of all 5 atoms:
Au (0.000, 0.000, 0.000)
Hg (0.500, 0.500, 0.500)
Rb (0.000, 0.000, 0.500)
Rb (0.500, 0.000, 0.000)
Cd (0.000, 0.500, 0.000)

Computed properties:
Energy above the lowest structure with this stoichiometry = 49 meV per atom
Size of the total moment = 0.0 μB per formula unit
Raw total energy = -7.12 eV/cell
DFT formation energy = -0.138 eV per atom
Volume = 46.835 A^3/atom
Crystal system = tetragonal
SG = P4/mmm, No. 123

---

Entry 13:
# Y4MoCl

Crystalline Y4MoCl at its relaxed geometry (GGA-PBE, Alexandria via LeMat-Bulk).

abc: 6.267 6.267 6.267
angles: 60.00 60.00 60.00
Site moments in Bohr magnetons follow the coordinates.
Fractional coordinates of all 6 atoms:
Y (0.883, 0.372, 0.372)  -0.16
Y (0.372, 0.372, 0.883)  -0.16
Y (0.372, 0.883, 0.372)  -0.16
Y (0.372, 0.372, 0.372)  -0.16
Mo (0.000, 0.000, 0.000)  1.70
Cl (0.750, 0.750, 0.750)  -0.01

Computed properties:
Size of the total moment = 1.0 μB per formula unit
Raw total energy = -33.47 eV/cell
Uncorrected formation energy = 0.84 eV/atom
Volume = 29.008 A^3/atom
Crystal system = cubic
SG = F-43m, No. 216

---

Entry 14:
# TbHo6Th4

Crystalline TbHo6Th4 at its relaxed geometry (GGA-PBE, Alexandria via LeMat-Bulk).

abc: 7.845 7.845 8.504
angles: 117.47 117.47 90.00
Fractional coordinates of all 11 atoms:
Tb (0.500, 0.500, 0.000)
Ho (0.940, 0.426, 0.366)
Ho (0.426, 0.940, 0.366)
Ho (0.574, 0.574, 0.634)
Ho (0.000, 0.500, 0.000)
Ho (0.060, 0.060, 0.634)
Ho (0.500, 0.000, 0.000)
Th (0.094, 0.758, 0.853)
Th (0.906, 0.906, 0.147)
Th (0.758, 0.094, 0.853)
Th (0.242, 0.242, 0.147)

Computed properties:
Energy above the lowest structure with this stoichiometry = 341 meV per atom
Size of the total moment = 0.0 μB per formula unit
Raw total energy = -56.21 eV/cell
DFT formation energy = 0.506 eV per atom
Volume = 36.067 A^3/atom
Crystal system = tetragonal
SG = I-42m, No. 121

---

Entry 15:
# Pm2NdTh3

Crystalline Pm2NdTh3 at its relaxed geometry (GGA-PBE, Alexandria via LeMat-Bulk).

abc: 5.083 8.056 10.912
angles: 72.82 76.53 71.61
Fractional coordinates of all 12 atoms:
Pm (0.462, 0.212, 0.864)
Pm (0.538, 0.788, 0.136)
Pm (0.205, 0.455, 0.136)
Pm (0.795, 0.545, 0.864)
Nd (0.129, 0.878, 0.865)
Nd (0.871, 0.122, 0.135)
Th (0.711, 0.960, 0.618)
Th (0.044, 0.294, 0.618)
Th (0.377, 0.627, 0.618)
Th (0.623, 0.373, 0.382)
Th (0.956, 0.706, 0.382)
Th (0.289, 0.040, 0.382)

Computed properties:
Size of the total moment = 0.0 μB per formula unit
Raw total energy = -72.73 eV/cell
DFT formation energy = 0.027 eV per atom
Volume = 33.351 A^3/atom
Crystal system = monoclinic
SG = C2/m, No. 12

---

Entry 16:
# Tl2CdAuF

Crystalline Tl2CdAuF at its relaxed geometry (GGA-PBE, Alexandria via LeMat-Bulk).

abc: 5.621 5.298 5.621
angles: 90.00 90.00 90.00
Fractional coordinates of all 5 atoms:
Tl (0.000, 0.000, 0.500)
Tl (0.500, 0.000, 0.000)
F (0.500, 0.500, 0.500)
Au (0.000, 0.000, 0.000)
Cd (0.000, 0.500, 0.000)

Computed properties:
Size of the total moment = 0.0 μB per formula unit
Raw total energy = -12.73 eV/cell
Uncorrected formation energy = -0.39 eV/atom
Volume = 33.479 A^3/atom
Crystal system = tetragonal
SG = P4/mmm, No. 123

---

Entry 17:
# Pm2PrHo

Crystalline Pm2PrHo at its relaxed geometry (GGA-PBE, Alexandria via LeMat-Bulk).

abc: 3.635 3.635 12.050
angles: 81.32 81.32 60.00
Fractional coordinates of all 4 atoms:
Pr (0.500, 0.500, 0.500)
Ho (0.000, 0.000, 0.000)
Pm (0.748, 0.748, 0.756)
Pm (0.252, 0.252, 0.244)

Computed properties:
Energy above the lowest structure with this stoichiometry = 1 meV per atom
Size of the total moment = 0.0 μB per formula unit
Raw total energy = -18.79 eV/cell
DFT formation energy = 0.017 eV per atom
Volume = 33.946 A^3/atom
Crystal system = trigonal
SG = R-3m, No. 166

---

Entry 18:
# Ag7S2ICl2

Crystalline Ag7S2ICl2 at its relaxed geometry (GGA-PBE, Alexandria via LeMat-Bulk).

abc: 4.635 5.381 12.318
angles: 102.62 100.84 90.00
Fractional coordinates of all 12 atoms:
Ag (0.399, 0.924, 0.798)
Ag (0.718, 0.738, 0.435)
Ag (0.083, 0.475, 0.166)
Ag (0.601, 0.126, 0.202)
Ag (0.282, 0.303, 0.565)
Ag (0.917, 0.309, 0.834)
Ag (0.500, 0.551, 0.000)
S (0.394, 0.423, 0.787)
S (0.606, 0.635, 0.213)
I (0.000, 0.973, 0.000)
Cl (0.279, 0.800, 0.559)
Cl (0.721, 0.241, 0.441)

Computed properties:
Size of the total moment = 0.0 μB per formula unit
Raw total energy = -35.20 eV/cell
Uncorrected formation energy = -0.15 eV/atom
Volume = 24.514 A^3/atom
Crystal system = orthorhombic
SG = Imm2, No. 44

---

Entry 19:
# PaNbB

Crystalline PaNbB at its relaxed geometry (GGA-PBE, Alexandria via LeMat-Bulk).

abc: 3.196 3.196 5.411
angles: 107.18 107.18 90.00
Fractional coordinates of all 3 atoms:
Nb (0.900, 0.900, 0.800)
Pa (0.627, 0.627, 0.255)
B (0.322, 0.322, 0.645)

Computed properties:
Energy above the lowest structure with this stoichiometry = 0 meV per atom
Size of the total moment = 0.0 μB per formula unit
Raw total energy = -26.14 eV/cell
DFT formation energy = 0.035 eV per atom
Volume = 16.735 A^3/atom
Crystal system = tetragonal
SG = I4mm, No. 107

---

Entry 20:
# Tl3BiPt

Crystalline Tl3BiPt at its relaxed geometry (GGA-PBE, Alexandria via LeMat-Bulk).

abc: 5.903 5.903 5.903
angles: 90.00 90.00 90.00
Fractional coordinates of all 5 atoms:
Tl (0.000, 0.500, 0.000)
Tl (0.000, 0.000, 0.500)
Tl (0.500, 0.000, 0.000)
Bi (0.000, 0.000, 0.000)
Pt (0.500, 0.500, 0.500)

Computed properties:
Size of the total moment = 0.0 μB per formula unit
Raw total energy = -12.50 eV/cell
DFT formation energy = 0.904 eV per atom
Volume = 41.131 A^3/atom
Crystal system = cubic
SG = Pm-3m, No. 221